MnCr2BiO8: relaxed, PBE+U.

a b c (Å): 4.6455 4.6442 6.2339
angles (deg): 90.00 90.00 90.44
Last column: nearest neighbours and their distance in Å.
Positions (direct):
Mn1 0.0000 0.0000 0.0000  6 O 1.93-1.99
Cr1 0.5000 0.5000 0.7617  6 O 1.96-2.01
Cr2 0.5000 0.5000 0.2383  6 O 1.96-2.01
Bi1 0.0000 0.0000 0.5000  6 O 2.10-2.13
O1 0.1974 0.8022 0.2288  1 Mn 1.93, 1 Cr 1.99, 1 Bi 2.13
O2 0.6963 0.6967 0.0000  2 Cr 1.96, 1 Mn 1.99
O3 0.8026 0.1978 0.2288  1 Mn 1.93, 1 Cr 2.00, 1 Bi 2.13
O4 0.8026 0.1978 0.7712  1 Mn 1.93, 1 Cr 1.99, 1 Bi 2.13
O5 0.3037 0.3033 0.0000  2 Cr 1.96, 1 Mn 1.99
O6 0.1974 0.8022 0.7712  1 Mn 1.93, 1 Cr 2.00, 1 Bi 2.13
O7 0.6786 0.6790 0.5000  2 Cr 2.01, 1 Bi 2.10
O8 0.3214 0.3210 0.5000  2 Cr 2.01, 1 Bi 2.10

Computed properties:
Raw total energy (eV/f.u.): -81.95
Fermi-level density of states (states/eV/cell): 3.03